Below is a relaxed HoMgCdPb crystal, with properties calculated at the PBE level.

Cell lengths 4.3791, 4.6463, 4.8865 Å; angles 90.00, 90.00, 90.00 degrees
Last column: nearest neighbours and their distance in Å.
Sites, in units of the cell vectors:
1 Ho 0.0000 0.5000 0.5000  4 Pb 3.19, 4 Cd 3.28, 4 Mg 3.37
2 Pb 0.5000 0.0000 0.5000  4 Ho 3.19, 4 Mg 3.28, 4 Cd 3.37
3 Mg 0.0000 0.0000 0.0000  4 Cd 3.19, 4 Pb 3.28, 4 Ho 3.37
4 Cd 0.5000 0.5000 0.0000  4 Mg 3.19, 4 Ho 3.28, 4 Pb 3.37

Formation enthalpy at 0 K ... -0.322 eV per atom
E ... -12.1 eV for the cell shown
Mass density ... 8.50 Mg/m³
Symmetry ... Pmmm
D(E_F) ... 1.560 states/eV/f.u.